[1]
# Fe2PW

A crystal of Fe2PW relaxed with PBEsol (SCAN, Alexandria).

Values from the calculation:
Energy of formation, eV/atom: 0.04
N(E_F), states/eV/atom: 0.6431

a = 2.9495 Å, b = 3.9354 Å, c = 4.1175 Å
α = 90.00°, β = 90.00°, γ = 90.00°
Closest atoms and distances in Å follow each position.
Element x y z (fractional)
Fe 0.0000 0.0000 0.0000  4 Fe 2.46, 4 P 2.53
Fe 0.5000 0.5000 0.0000  4 Fe 2.46, 4 W 2.53
P 0.5000 0.0000 0.5000  4 W 2.46, 4 Fe 2.53
W 0.0000 0.5000 0.5000  4 P 2.46, 4 Fe 2.53

[2]
# KNbCl6

A crystal of KNbCl6 relaxed with PBEsol (SCAN, Alexandria).

Values from the calculation:
VASP energy, eV per formula unit: -102.11
N(E_F), states/eV/atom: 0.0000

a = 6.9511 Å, b = 6.9511 Å, c = 6.9547 Å
α = 60.02°, β = 60.02°, γ = 60.00°
Closest atoms and distances in Å follow each position.
Element x y z (fractional)
Nb 0.0071 0.0071 0.9788  6 Cl 2.36
K 0.2565 0.2565 0.2305  12 Cl 3.47-3.48
Cl 0.7665 0.2475 0.7386  1 Nb 2.36
Cl 0.2475 0.2475 0.7386  1 Nb 2.36
Cl 0.2475 0.7665 0.7386  1 Nb 2.36
Cl 0.2475 0.7667 0.2192  1 Nb 2.36
Cl 0.7667 0.7667 0.2192  1 Nb 2.36
Cl 0.7667 0.2475 0.2192  1 Nb 2.36

[3]
# Cu3Pt

A crystal of Cu3Pt relaxed with PBEsol (SCAN, Alexandria).

Values from the calculation:
Energy of formation, eV/atom: -0.10
N(E_F), states/eV/atom: 0.3071

a = 4.1187 Å, b = 4.1187 Å, c = 4.1187 Å
α = 60.00°, β = 60.00°, γ = 60.00°
Closest atoms and distances in Å follow each position.
Element x y z (fractional)
Pt 0.5000 0.5000 0.5000  8 Cu 2.52
Cu 0.2500 0.2500 0.2500  4 Cu 2.52, 4 Pt 2.52
Cu 0.7500 0.7500 0.7500  4 Pt 2.52, 4 Cu 2.52
Cu 0.0000 0.0000 0.0000  8 Cu 2.52

[4]
# Sc5Ru3

A crystal of Sc5Ru3 relaxed with PBEsol (SCAN, Alexandria).

Values from the calculation:
Energy of formation, eV/atom: -0.49
N(E_F), states/eV/atom: 0.5126
ΔE to the lowest computed polymorph, meV/atom: 44

a = 5.6139 Å, b = 7.7133 Å, c = 7.7133 Å
α = 82.39°, β = 68.66°, γ = 68.66°
Closest atoms and distances in Å follow each position.
Element x y z (fractional)
Ru 0.1584 0.5000 0.1832  6 Sc 2.67-2.74
Ru 0.2500 0.0000 0.0000  8 Sc 2.69, 2 Ru 2.81
Ru 0.3416 0.8168 0.5000  6 Sc 2.67-2.74
Ru 0.6584 0.1832 0.5000  6 Sc 2.67-2.74
Ru 0.7500 0.0000 0.0000  8 Sc 2.69, 2 Ru 2.81
Ru 0.8416 0.5000 0.8168  6 Sc 2.67-2.74
Sc 0.0774 0.1347 0.7106  4 Ru 2.69-2.74
Sc 0.2120 0.7106 0.8653  4 Ru 2.69-2.74
Sc 0.2500 0.5000 0.5000  4 Ru 2.67, 2 Sc 2.81
Sc 0.2880 0.1347 0.2894  4 Ru 2.69-2.74
Sc 0.4226 0.2894 0.8653  4 Ru 2.69-2.74
Sc 0.5774 0.7106 0.1347  4 Ru 2.69-2.74
Sc 0.7120 0.8653 0.7106  4 Ru 2.69-2.74
Sc 0.7500 0.5000 0.5000  4 Ru 2.67, 2 Sc 2.81
Sc 0.7880 0.2894 0.1347  4 Ru 2.69-2.74
Sc 0.9226 0.8653 0.2894  4 Ru 2.69-2.74

[5]
# Ca2YOs

A crystal of Ca2YOs relaxed with PBEsol (SCAN, Alexandria).

Values from the calculation:
Energy of formation, eV/atom: 0.51
N(E_F), states/eV/atom: 0.8893
ΔE to the lowest computed polymorph, meV/atom: 248

a = 3.7858 Å, b = 3.7858 Å, c = 6.8232 Å
α = 90.00°, β = 90.00°, γ = 90.00°
Closest atoms and distances in Å follow each position.
Element x y z (fractional)
Y 0.5000 0.5000 0.5000  8 Ca 3.35, 2 Os 3.41
Ca 0.0000 0.0000 0.7949  1 Ca 2.80, 4 Os 3.02
Ca 0.0000 0.0000 0.2051  1 Ca 2.80, 4 Os 3.02
Os 0.5000 0.5000 0.0000  8 Ca 3.02

[6]
# CoBr

A crystal of CoBr relaxed with PBEsol (SCAN, Alexandria).

Values from the calculation:
N(E_F), states/eV/atom: 0.3713
ΔE to the lowest computed polymorph, meV/atom: 93

a = 3.3008 Å, b = 3.3088 Å, c = 7.2616 Å
α = 90.00°, β = 103.14°, γ = 90.00°
Closest atoms and distances in Å follow each position.
Element x y z (fractional)
Co 0.7853 0.7500 0.5707  1 Br 2.34, 4 Co 2.54
Co 0.2147 0.2500 0.4293  1 Br 2.34, 4 Co 2.54
Br 0.6200 0.7500 0.2401  1 Co 2.34
Br 0.3800 0.2500 0.7599  1 Co 2.34

[7]
# NbCoMoAu2

A crystal of NbCoMoAu2 relaxed with PBEsol (SCAN, Alexandria).

Values from the calculation:
Energy of formation, eV/atom: 1.42
N(E_F), states/eV/atom: 0.8869

a = 4.1696 Å, b = 4.8947 Å, c = 4.8947 Å
α = 90.00°, β = 90.00°, γ = 90.00°
Closest atoms and distances in Å follow each position.
Element x y z (fractional)
Co 0.5000 0.0000 0.0000  2 Mo 2.08
Mo 0.0000 0.0000 0.0000  2 Co 2.08
Au 0.0000 0.0000 0.5000  2 Mo 2.45
Au 0.0000 0.5000 0.0000  2 Mo 2.45
Nb 0.5000 0.5000 0.5000  8 Au 3.21, 4 Co 3.46

[8]
# La2ZnRu

A crystal of La2ZnRu relaxed with PBEsol (SCAN, Alexandria).

Values from the calculation:
Energy of formation, eV/atom: -0.16
N(E_F), states/eV/atom: 0.5757

a = 4.0144 Å, b = 4.0144 Å, c = 7.9691 Å
α = 75.41°, β = 75.41°, γ = 60.00°
Closest atoms and distances in Å follow each position.
Element x y z (fractional)
La 0.7349 0.7349 0.7953  3 Ru 2.79
La 0.2651 0.2651 0.2047  3 Ru 2.79
Ru 0.0000 0.0000 0.0000  6 La 2.79
Zn 0.5000 0.5000 0.5000  6 La 3.23

[9]
# ZrPbW2

A crystal of ZrPbW2 relaxed with PBEsol (SCAN, Alexandria).

Values from the calculation:
Energy of formation, eV/atom: 0.47
N(E_F), states/eV/atom: 0.4213

a = 3.4496 Å, b = 4.5906 Å, c = 5.4848 Å
α = 114.74°, β = 108.33°, γ = 90.00°
Closest atoms and distances in Å follow each position.
Element x y z (fractional)
Pb 0.0000 0.5000 0.0000  4 Zr 2.87, 8 W 2.98-3.21
W 0.7598 0.7598 0.5196  2 Zr 2.83, 4 W 2.88, 2 Pb 2.98
W 0.2402 0.2402 0.4804  2 Zr 2.83, 4 W 2.88, 2 Pb 2.98
Zr 0.5000 0.0000 0.0000  4 W 2.83, 4 Pb 2.87

[10]
# MnTlHg

A crystal of MnTlHg relaxed with PBEsol (SCAN, Alexandria).

Values from the calculation:
Energy of formation, eV/atom: 0.14
N(E_F), states/eV/atom: 0.3487
ΔE to the lowest computed polymorph, meV/atom: 30

a = 4.6153 Å, b = 4.6153 Å, c = 4.6153 Å
α = 60.00°, β = 60.00°, γ = 60.00°
Closest atoms and distances in Å follow each position.
Element x y z (fractional)
Hg 0.2500 0.2500 0.2500  4 Tl 2.83, 4 Mn 2.83
Mn 0.0000 0.0000 0.0000  4 Hg 2.83
Tl 0.5000 0.5000 0.5000  4 Hg 2.83

[11]
# La3In2Ga3O12

A crystal of La3In2Ga3O12 relaxed with PBEsol (SCAN, Alexandria).

Values from the calculation:
VASP energy, eV per formula unit: -374.20
N(E_F), states/eV/atom: 0.0000

a = 11.1840 Å, b = 11.1840 Å, c = 11.1840 Å
α = 109.47°, β = 109.47°, γ = 109.47°
Closest atoms and distances in Å follow each position.
Element x y z (fractional)
La 0.7500 0.8750 0.1250  8 O 2.47-2.56
La 0.2500 0.1250 0.8750  8 O 2.47-2.56
La 0.2500 0.6250 0.3750  8 O 2.47-2.56
La 0.8750 0.2500 0.1250  8 O 2.47-2.56
La 0.6250 0.7500 0.3750  8 O 2.47-2.56
La 0.7500 0.3750 0.6250  8 O 2.47-2.56
La 0.1250 0.7500 0.8750  8 O 2.47-2.56
La 0.3750 0.2500 0.6250  8 O 2.47-2.56
La 0.6250 0.8750 0.7500  8 O 2.47-2.56
La 0.3750 0.1250 0.2500  8 O 2.47-2.56
La 0.8750 0.6250 0.2500  8 O 2.47-2.56
La 0.1250 0.3750 0.7500  8 O 2.47-2.56
In 0.0000 0.0000 0.0000  6 O 2.17
In 0.5000 0.0000 0.5000  6 O 2.17
In 0.0000 0.5000 0.5000  6 O 2.17
In 0.5000 0.5000 0.5000  6 O 2.17
In 0.5000 0.5000 0.0000  6 O 2.17
In 0.5000 0.0000 0.0000  6 O 2.17
In 0.0000 0.5000 0.0000  6 O 2.17
In 0.0000 0.0000 0.5000  6 O 2.17
Ga 0.7500 0.1250 0.3750  4 O 1.87
Ga 0.2500 0.8750 0.6250  4 O 1.87
Ga 0.2500 0.3750 0.1250  4 O 1.87
Ga 0.6250 0.2500 0.8750  4 O 1.87
Ga 0.3750 0.7500 0.1250  4 O 1.87
Ga 0.7500 0.6250 0.8750  4 O 1.87
Ga 0.8750 0.7500 0.6250  4 O 1.87
Ga 0.1250 0.2500 0.3750  4 O 1.87
Ga 0.3750 0.6250 0.7500  4 O 1.87
Ga 0.6250 0.3750 0.2500  4 O 1.87
Ga 0.1250 0.8750 0.2500  4 O 1.87
Ga 0.8750 0.1250 0.7500  4 O 1.87
O 0.5254 0.8133 0.9011  1 Ga 1.87
O 0.4746 0.1867 0.0989  1 Ga 1.87
O 0.4122 0.6243 0.5989  1 Ga 1.87
O 0.0878 0.6867 0.2121  1 Ga 1.87
O 0.7121 0.0878 0.1867  1 Ga 1.87
O 0.6867 0.9746 0.5989  1 Ga 1.87
O 0.5878 0.3757 0.4011  1 Ga 1.87
O 0.9122 0.3133 0.7879  1 Ga 1.87
O 0.2879 0.9122 0.8133  1 Ga 1.87
O 0.3133 0.0254 0.4011  1 Ga 1.87
O 0.9746 0.8757 0.2879  1 Ga 1.87
O 0.7879 0.9746 0.3757  1 Ga 1.87
O 0.8757 0.0878 0.9011  1 Ga 1.87
O 0.0254 0.1243 0.7121  1 Ga 1.87
O 0.2121 0.0254 0.6243  1 Ga 1.87
O 0.1243 0.9122 0.0989  1 Ga 1.87
O 0.4011 0.5254 0.3133  1 Ga 1.87
O 0.8133 0.4122 0.2879  1 Ga 1.87
O 0.5989 0.4746 0.6867  1 Ga 1.87
O 0.1867 0.5878 0.7121  1 Ga 1.87
O 0.0989 0.4122 0.1243  1 Ga 1.87
O 0.6243 0.5254 0.2121  1 Ga 1.87
O 0.9011 0.5878 0.8757  1 Ga 1.87
O 0.3757 0.4746 0.7879  1 Ga 1.87
O 0.6243 0.0989 0.9122  1 Ga 1.87
O 0.4122 0.7879 0.3133  1 Ga 1.87
O 0.3757 0.9011 0.0878  1 Ga 1.87
O 0.5878 0.2121 0.6867  1 Ga 1.87
O 0.8757 0.7879 0.4746  1 Ga 1.87
O 0.9746 0.0989 0.1867  1 Ga 1.87
O 0.1243 0.2121 0.5254  1 Ga 1.87
O 0.0254 0.9011 0.8133  1 Ga 1.87
O 0.6867 0.7121 0.5878  1 Ga 1.87
O 0.0878 0.4011 0.3757  1 Ga 1.87
O 0.3133 0.2879 0.4122  1 Ga 1.87
O 0.9122 0.5989 0.6243  1 Ga 1.87
O 0.8133 0.4011 0.0254  1 Ga 1.87
O 0.5254 0.7121 0.1243  1 Ga 1.87
O 0.1867 0.5989 0.9746  1 Ga 1.87
O 0.4746 0.2879 0.8757  1 Ga 1.87
O 0.7121 0.6243 0.0254  1 Ga 1.87
O 0.2879 0.3757 0.9746  1 Ga 1.87
O 0.7879 0.8133 0.9122  1 Ga 1.87
O 0.2121 0.1867 0.0878  1 Ga 1.87
O 0.0989 0.6867 0.4746  1 Ga 1.87
O 0.9011 0.3133 0.5254  1 Ga 1.87
O 0.4011 0.8757 0.5878  1 Ga 1.87
O 0.5989 0.1243 0.4122  1 Ga 1.87

[12]
# Ba2Ir3O9

A crystal of Ba2Ir3O9 relaxed with PBEsol (SCAN, Alexandria).

Values from the calculation:
VASP energy, eV per formula unit: -370.40
N(E_F), states/eV/atom: 0.5808

a = 8.1809 Å, b = 8.1809 Å, c = 8.1809 Å
α = 109.47°, β = 109.47°, γ = 109.47°
Closest atoms and distances in Å follow each position.
Element x y z (fractional)
Ba 0.0000 0.3810 0.0000  6 O 2.61-2.80
Ba 0.0000 0.0000 0.3810  6 O 2.61-2.80
Ba 0.3810 0.0000 0.0000  6 O 2.61-2.80
Ba 0.6190 0.6190 0.6190  6 O 2.61-2.80
Ir 0.6560 0.5000 0.1560  6 O 1.95-2.00
Ir 0.1560 0.6560 0.5000  6 O 1.95-2.00
Ir 0.5000 0.1560 0.6560  6 O 1.95-2.00
Ir 0.8440 0.3440 0.5000  6 O 1.95-2.00
Ir 0.5000 0.8440 0.3440  6 O 1.95-2.00
Ir 0.3440 0.5000 0.8440  6 O 1.95-2.00
O 0.6424 0.0000 0.6424  2 Ir 2.00
O 0.6424 0.6424 0.0000  2 Ir 2.00
O 0.0000 0.6424 0.6424  2 Ir 2.00
O 0.3576 0.3576 0.0000  2 Ir 2.00
O 0.0000 0.3576 0.3576  2 Ir 2.00
O 0.3576 0.0000 0.3576  2 Ir 2.00
O 0.6407 0.2784 0.9501  2 Ir 1.95-1.97
O 0.9501 0.6407 0.2784  2 Ir 1.95-1.97
O 0.2784 0.9501 0.6407  2 Ir 1.95-1.97
O 0.6377 0.3593 0.3094  2 Ir 1.95-1.97
O 0.7216 0.3623 0.6716  2 Ir 1.95-1.97
O 0.3623 0.6716 0.7216  2 Ir 1.95-1.97
O 0.6906 0.0499 0.3284  2 Ir 1.95-1.97
O 0.3094 0.6377 0.3593  2 Ir 1.95-1.97
O 0.0499 0.3284 0.6906  2 Ir 1.95-1.97
O 0.3284 0.6906 0.0499  2 Ir 1.95-1.97
O 0.3593 0.3094 0.6377  2 Ir 1.95-1.97
O 0.6716 0.7216 0.3623  2 Ir 1.95-1.97